Entry 1:
Computed, not measured: crystalline RbHgIrF6 at its relaxed geometry at the PBE level of DFT.

```
9
Lattice="6.1703 0.0027 0.0009 3.0876 5.3424 -0.0010 0.0013 -0.0023 5.4259" Properties=species:S:1:pos:R:3 pbc="T T T"
Rb 9.2589 5.3427 5.4258
Hg 6.1711 3.5616 2.7128
Ir 3.0867 1.7807 2.7129
F 1.3838 1.8115 1.6658
F 2.2620 0.2905 3.7602
F 4.7894 1.8150 3.7604
F 2.2061 3.2409 3.7569
F 3.9676 3.2381 1.6654
F 3.9110 0.2880 1.6689
```

Summary:
Formation energy from raw total energies = -1763 meV/atom
Raw total energy = -4.136 eV/atom
ρ = 5.50 Mg/m³

=====

Entry 2:
Computed, not measured: crystalline RbHgIrF2 at its relaxed geometry at the PBE level of DFT.

```
5
Lattice="-2.5785 0.3496 -3.5676 2.2463 -5.4451 -2.1570 -3.2171 -2.1643 2.1131" Properties=species:S:1:pos:R:3 pbc="T T T"
Ir 0.0000 0.0000 0.0000
Hg -1.7746 -3.6299 -1.8058
Rb 1.1232 -2.7226 -1.0785
F -1.6085 -1.0821 1.0565
F -1.2892 0.1748 -1.7838
```

Summary:
Formation energy from raw total energies = -317 meV/atom
Raw total energy = -3.092 eV/atom
ρ = 7.01 Mg/m³

=====

Entry 3:
Computed, not measured: crystalline HgSb2IrF at its relaxed geometry at the PBE level of DFT.

```
5
Lattice="-2.0882 -2.9450 3.5323 4.2746 0.7385 3.1427 -2.2147 4.0439 2.0622" Properties=species:S:1:pos:R:3 pbc="T T T"
Sb -1.1074 2.0219 1.0311
Sb -1.0441 -1.4725 1.7662
Ir 0.0000 0.0000 0.0000
Hg 2.1373 0.3692 1.5713
F -0.0141 0.9187 4.3686
```

Summary:
Formation energy from raw total energies = -66 meV/atom
Raw total energy = -3.922 eV/atom
ρ = 7.96 Mg/m³

=====

Entry 4:
Computed, not measured: crystalline HgIrSe2F at its relaxed geometry at the PBE level of DFT.

```
5
Lattice="-1.3950 0.6953 4.7176 2.4073 -3.1669 1.1786 3.7985 3.1335 0.6614" Properties=species:S:1:pos:R:3 pbc="T T T"
Ir 0.0000 0.0000 0.0000
Hg 2.4054 0.3310 3.2788
Se 1.8992 1.5668 0.3307
Se -0.6975 0.3476 2.3588
F 1.2036 -1.5834 0.5893
```

Summary:
Formation energy from raw total energies = -94 meV/atom
Raw total energy = -3.694 eV/atom
ρ = 9.24 Mg/m³